1.
A relaxed structure of Co2IrRh. Source: Alexandria, functional PBE-GGA.

a b c (Å): 8.596 2.655 4.608
angles (deg): 90.00 100.29 90.00
Space group C2/m (No. 12)
Unique sites:
Co1 0.249 0.000 0.246 x4
Ir1 0.000 0.500 0.000 x2
Rh1 0.000 0.000 0.500 x2

* energy of formation from the pure elements: 58 meV/atom
* calculated volume: 103.4 Å³ per cell
* total moment: 1.0074 μB per atom
* offset from the most stable computed form: 13.2 meV/atom

2.
A relaxed structure of CoIr3Rh. Source: Alexandria, functional PBE-GGA.

a b c (Å): 7.4440 7.4440 4.8911
angles (deg): 90.00 90.00 120.00
Space group P6/mmm (No. 191)
Unique sites:
Co1 0.3333 0.6667 0.0000 x2
Ir1 0.0000 0.3327 0.0000 x6
Rh1 0.0000 0.0000 0.2599 x2

* energy of formation from the pure elements: 1171 meV/atom
* calculated volume: 234.7 Å³ per cell
* total moment: 0.5787 μB per atom
* offset from the most stable computed form: 714.9 meV/atom